[1]
# ReRh2 | the Alexandria database | SCAN | single point on PBEsol structure
# Calculated volume (Å³/atom): 13.8
# Size of the total moment (μB/f.u.): 0.00
# Formation energy from the elements (eV/atom): -0.091
# Calculated density (g/cm³): 15.682
# Energy above the most stable polymorph in this dataset (eV/f.u.): 0.307
# Crystal system: trigonal
# Raw total energy (eV/atom): -46.30
data_ReRh2
_chemical_formula_sum 'Re1 Rh2'
_cell_length_a 2.6966
_cell_length_b 2.6966
_cell_length_c 6.5916
_cell_angle_alpha 90.00
_cell_angle_beta 90.00
_cell_angle_gamma 120.00
_space_group_name_H-M_alt 'P -3 m 1'
_space_group_IT_number 164
_space_group_name_Hall '-P 3 2"'
loop_
_atom_site_label
_atom_site_type_symbol
_atom_site_fract_x
_atom_site_fract_y
_atom_site_fract_z
_atom_site_occupancy
Re1 Re 0.0000 0.0000 0.0000 1
Rh1 Rh 0.3333 0.6667 0.3276 1

[2]
# ReRh3 | the Alexandria database | SCAN | single point on PBEsol structure
# Calculated volume (Å³/atom): 13.8
# Size of the total moment (μB/f.u.): 0.00
# Formation energy from the elements (eV/atom): -0.088
# Calculated density (g/cm³): 14.904
# Energy above the most stable polymorph in this dataset (eV/f.u.): 0.068
# Crystal system: tetragonal
# Raw total energy (eV/atom): -43.19
data_ReRh3
_chemical_formula_sum 'Re2 Rh6'
_cell_length_a 2.691
_cell_length_b 2.691
_cell_length_c 15.231
_cell_angle_alpha 90.00
_cell_angle_beta 90.00
_cell_angle_gamma 90.00
_space_group_name_H-M_alt 'P 4/n m m'
_space_group_IT_number 129
loop_
_space_group_symop_operation_xyz
'x,y,z'
'-x,-y,-z'
'-y+1/2,x,z'
'y+1/2,-x,-z'
'-x+1/2,-y+1/2,z'
'x+1/2,y+1/2,-z'
'y,-x+1/2,z'
'-y,x+1/2,-z'
'x+1/2,-y,-z'
'-x+1/2,y,z'
'-y,-x,-z'
'y,x,z'
'-x,y+1/2,-z'
'x,-y+1/2,z'
'y+1/2,x+1/2,-z'
'-y+1/2,-x+1/2,z'
loop_
_atom_site_label
_atom_site_type_symbol
_atom_site_fract_x
_atom_site_fract_y
_atom_site_fract_z
_atom_site_occupancy
Re1 Re 0.250 0.250 0.187 1
Rh1 Rh 0.250 0.250 0.440 1
Rh2 Rh 0.250 0.250 0.689 1
Rh3 Rh 0.250 0.250 0.934 1

[3]
# ReRh2 | the Alexandria database | SCAN | single point on PBEsol structure
# Calculated volume (Å³/atom): 16.8
# Size of the total moment (μB/f.u.): 0.00
# Formation energy from the elements (eV/atom): 0.649
# Calculated density (g/cm³): 12.896
# Energy above the most stable polymorph in this dataset (eV/f.u.): 2.528
# Crystal system: tetragonal
# Raw total energy (eV/atom): -45.56
data_ReRh2
_chemical_formula_sum 'Re1 Rh2'
_cell_length_a 4.286
_cell_length_b 4.286
_cell_length_c 2.748
_cell_angle_alpha 90.00
_cell_angle_beta 90.00
_cell_angle_gamma 90.00
_space_group_name_H-M_alt 'P 4/m m m'
_space_group_IT_number 123
_space_group_name_Hall '-P 4 2'
loop_
_atom_site_label
_atom_site_type_symbol
_atom_site_fract_x
_atom_site_fract_y
_atom_site_fract_z
_atom_site_occupancy
Re1 Re 0.000 0.000 0.000 1
Rh1 Rh 0.000 0.500 0.500 1

[4]
# ReRh3 | the Alexandria database | SCAN | single point on PBEsol structure
# Calculated volume (Å³/atom): 13.7
# Size of the total moment (μB/f.u.): 0.00
# Formation energy from the elements (eV/atom): -0.061
# Calculated density (g/cm³): 14.968
# Energy above the most stable polymorph in this dataset (eV/f.u.): 0.176
# Crystal system: tetragonal
# Raw total energy (eV/atom): -43.16
data_ReRh3
_chemical_formula_sum 'Re1 Rh3'
_cell_length_a 2.679
_cell_length_b 2.679
_cell_length_c 7.652
_cell_angle_alpha 90.00
_cell_angle_beta 90.00
_cell_angle_gamma 90.00
_space_group_name_H-M_alt 'P 4/m m m'
_space_group_IT_number 123
_space_group_name_Hall '-P 4 2'
loop_
_atom_site_label
_atom_site_type_symbol
_atom_site_fract_x
_atom_site_fract_y
_atom_site_fract_z
_atom_site_occupancy
Re1 Re 0.000 0.000 0.000 1
Rh1 Rh 0.000 0.000 0.500 1
Rh2 Rh 0.500 0.500 0.247 1

[5]
# ReRh3 | the Alexandria database | SCAN | single point on PBEsol structure
# Calculated volume (Å³/atom): 13.7
# Size of the total moment (μB/f.u.): 0.00
# Formation energy from the elements (eV/atom): -0.041
# Calculated density (g/cm³): 15.021
# Energy above the most stable polymorph in this dataset (eV/f.u.): 0.253
# Crystal system: orthorhombic
# Raw total energy (eV/atom): -43.14
data_ReRh3
_chemical_formula_sum 'Re2 Rh6'
_cell_length_a 5.347
_cell_length_b 7.637
_cell_length_c 2.680
_cell_angle_alpha 90.00
_cell_angle_beta 90.00
_cell_angle_gamma 90.00
_space_group_name_H-M_alt 'C m m m'
_space_group_IT_number 65
_space_group_name_Hall '-C 2 2'
loop_
_atom_site_label
_atom_site_type_symbol
_atom_site_fract_x
_atom_site_fract_y
_atom_site_fract_z
_atom_site_occupancy
Re1 Re 0.000 0.000 0.000 1
Rh1 Rh 0.000 0.500 0.000 1
Rh2 Rh 0.250 0.250 0.500 1

[6]
# ReRh3 | the Alexandria database | SCAN | single point on PBEsol structure
# Calculated volume (Å³/atom): 25.0
# Size of the total moment (μB/f.u.): 0.00
# Formation energy from the elements (eV/atom): 1.777
# Calculated density (g/cm³): 8.211
# Energy above the most stable polymorph in this dataset (eV/f.u.): 7.526
# Crystal system: cubic
# Raw total energy (eV/atom): -41.33
data_ReRh3
_chemical_formula_sum 'Re1 Rh3'
_cell_length_a 4.643
_cell_length_b 4.643
_cell_length_c 4.643
_cell_angle_alpha 90.00
_cell_angle_beta 90.00
_cell_angle_gamma 90.00
_space_group_name_H-M_alt 'P m -3 m'
_space_group_IT_number 221
_space_group_name_Hall '-P 4 2 3'
loop_
_atom_site_label
_atom_site_type_symbol
_atom_site_fract_x
_atom_site_fract_y
_atom_site_fract_z
_atom_site_occupancy
Re1 Re 0.000 0.000 0.000 1
Rh1 Rh 0.000 0.000 0.500 1

[7]
# ReRh3 | the Alexandria database | SCAN | single point on PBEsol structure
# Calculated volume (Å³/atom): 13.6
# Size of the total moment (μB/f.u.): 0.00
# Formation energy from the elements (eV/atom): -0.088
# Calculated density (g/cm³): 15.066
# Energy above the most stable polymorph in this dataset (eV/f.u.): 0.069
# Crystal system: hexagonal
# Raw total energy (eV/atom): -43.19
data_ReRh3
_chemical_formula_sum 'Re2 Rh6'
_cell_length_a 5.4131
_cell_length_b 5.4131
_cell_length_c 4.2993
_cell_angle_alpha 90.00
_cell_angle_beta 90.00
_cell_angle_gamma 120.00
_space_group_name_H-M_alt 'P 63/m m c'
_space_group_IT_number 194
_space_group_name_Hall '-P 6c 2c'
loop_
_atom_site_label
_atom_site_type_symbol
_atom_site_fract_x
_atom_site_fract_y
_atom_site_fract_z
_atom_site_occupancy
Re1 Re 0.3333 0.6667 0.2500 1
Rh1 Rh 0.1680 0.3361 0.7500 1

[8]
# ReRh2 | the Alexandria database | SCAN | single point on PBEsol structure
# Calculated volume (Å³/atom): 13.8
# Size of the total moment (μB/f.u.): 0.00
# Formation energy from the elements (eV/atom): -0.139
# Calculated density (g/cm³): 15.760
# Energy above the most stable polymorph in this dataset (eV/f.u.): 0.164
# Crystal system: monoclinic
# Raw total energy (eV/atom): -46.35
data_ReRh2
_chemical_formula_sum 'Re4 Rh8'
_cell_length_a 9.850
_cell_length_b 2.712
_cell_length_c 6.378
_cell_angle_alpha 90.00
_cell_angle_beta 104.13
_cell_angle_gamma 90.00
_space_group_name_H-M_alt 'C 1 2/m 1'
_space_group_IT_number 12
_space_group_name_Hall '-C 2y'
loop_
_atom_site_label
_atom_site_type_symbol
_atom_site_fract_x
_atom_site_fract_y
_atom_site_fract_z
_atom_site_occupancy
Re1 Re 0.027 0.000 0.307 1
Rh1 Rh 0.136 0.500 0.027 1
Rh2 Rh 0.190 0.500 0.635 1

[9]
# ReRh2 | the Alexandria database | SCAN | single point on PBEsol structure
# Calculated volume (Å³/atom): 13.8
# Size of the total moment (μB/f.u.): 0.00
# Formation energy from the elements (eV/atom): -0.084
# Calculated density (g/cm³): 15.746
# Energy above the most stable polymorph in this dataset (eV/f.u.): 0.329
# Crystal system: orthorhombic
# Raw total energy (eV/atom): -46.30
data_ReRh2
_chemical_formula_sum 'Re2 Rh4'
_cell_length_a 2.676
_cell_length_b 3.847
_cell_length_c 8.033
_cell_angle_alpha 90.00
_cell_angle_beta 90.00
_cell_angle_gamma 90.00
_space_group_name_H-M_alt 'P m m m'
_space_group_IT_number 47
_space_group_name_Hall '-P 2 2'
loop_
_atom_site_label
_atom_site_type_symbol
_atom_site_fract_x
_atom_site_fract_y
_atom_site_fract_z
_atom_site_occupancy
Re1 Re 0.000 0.000 0.168 1
Rh1 Rh 0.000 0.000 0.500 1
Rh2 Rh 0.500 0.500 0.000 1
Rh3 Rh 0.500 0.500 0.328 1

[10]
# Re4Rh | the Alexandria database | SCAN | single point on PBEsol structure
# Calculated volume (Å³/atom): 16.9
# Size of the total moment (μB/f.u.): 0.00
# Formation energy from the elements (eV/atom): 0.698
# Calculated density (g/cm³): 16.645
# Crystal system: tetragonal
# Raw total energy (eV/atom): -62.93
data_Re4Rh
_chemical_formula_sum 'Re8 Rh2'
_cell_length_a 3.883
_cell_length_b 3.883
_cell_length_c 11.219
_cell_angle_alpha 90.00
_cell_angle_beta 90.00
_cell_angle_gamma 90.00
_space_group_name_H-M_alt 'I 4/m m m'
_space_group_IT_number 139
_space_group_name_Hall '-I 4 2'
loop_
_atom_site_label
_atom_site_type_symbol
_atom_site_fract_x
_atom_site_fract_y
_atom_site_fract_z
_atom_site_occupancy
Re1 Re 0.000 0.000 0.109 1
Re2 Re 0.000 0.500 0.250 1
Rh1 Rh 0.000 0.000 0.500 1

[11]
# ReRh3 | the Alexandria database | SCAN | single point on PBEsol structure
# Calculated volume (Å³/atom): 13.7
# Size of the total moment (μB/f.u.): 0.00
# Formation energy from the elements (eV/atom): -0.062
# Calculated density (g/cm³): 15.005
# Energy above the most stable polymorph in this dataset (eV/f.u.): 0.172
# Crystal system: orthorhombic
# Raw total energy (eV/atom): -43.16
data_ReRh3
_chemical_formula_sum 'Re2 Rh6'
_cell_length_a 2.701
_cell_length_b 8.660
_cell_length_c 4.683
_cell_angle_alpha 90.00
_cell_angle_beta 90.00
_cell_angle_gamma 90.00
_space_group_name_H-M_alt 'I m m 2'
_space_group_IT_number 44
_space_group_name_Hall 'I 2 -2'
loop_
_atom_site_label
_atom_site_type_symbol
_atom_site_fract_x
_atom_site_fract_y
_atom_site_fract_z
_atom_site_occupancy
Re1 Re 0.000 0.000 0.000 1
Rh1 Rh 0.000 0.253 0.335 1
Rh2 Rh 0.000 0.500 0.995 1

[12]
# ReRh2 | the Alexandria database | SCAN | single point on PBEsol structure
# Calculated volume (Å³/atom): 13.8
# Size of the total moment (μB/f.u.): 0.00
# Formation energy from the elements (eV/atom): -0.096
# Calculated density (g/cm³): 15.720
# Energy above the most stable polymorph in this dataset (eV/f.u.): 0.291
# Crystal system: tetragonal
# Raw total energy (eV/atom): -46.31
data_ReRh2
_chemical_formula_sum 'Re8 Rh16'
_cell_length_a 3.833
_cell_length_b 3.833
_cell_length_c 22.552
_cell_angle_alpha 90.00
_cell_angle_beta 90.00
_cell_angle_gamma 90.00
_space_group_name_H-M_alt 'I 41/a m d'
_space_group_IT_number 141
loop_
_space_group_symop_operation_xyz
'x,y,z'
'-x,-y,-z'
'-y+1/4,x+3/4,z+1/4'
'y+1/4,-x+3/4,-z+1/4'
'-x+1/2,-y,z+1/2'
'x+1/2,y,-z+1/2'
'y+1/4,-x+1/4,z+3/4'
'-y+1/4,x+1/4,-z+3/4'
'x,-y,-z'
'-x,y,z'
'-y+1/4,-x+1/4,-z+3/4'
'y+1/4,x+1/4,z+3/4'
'-x+1/2,y,-z+1/2'
'x+1/2,-y,z+1/2'
'y+1/4,x+3/4,-z+1/4'
'-y+1/4,-x+3/4,z+1/4'
'x+1/2,y+1/2,z+1/2'
'-x+1/2,-y+1/2,-z+1/2'
'-y+3/4,x+1/4,z+3/4'
'y+3/4,-x+1/4,-z+3/4'
'-x,-y+1/2,z'
'x,y+1/2,-z'
'y+3/4,-x+3/4,z+1/4'
'-y+3/4,x+3/4,-z+1/4'
'x+1/2,-y+1/2,-z+1/2'
'-x+1/2,y+1/2,z+1/2'
'-y+3/4,-x+3/4,-z+1/4'
'y+3/4,x+3/4,z+1/4'
'-x,y+1/2,-z'
'x,-y+1/2,z'
'y+3/4,x+1/4,-z+3/4'
'-y+3/4,-x+1/4,z+3/4'
loop_
_atom_site_label
_atom_site_type_symbol
_atom_site_fract_x
_atom_site_fract_y
_atom_site_fract_z
_atom_site_occupancy
Re1 Re 0.000 0.250 0.289 1
Rh1 Rh 0.000 0.250 0.123 1
Rh2 Rh 0.000 0.250 0.791 1